[1]
This record from the Alexandria database describes a crystal of Li2V3O6 relaxed with PBEsol. The functional is meta-GGA SCAN.

Cell: 6.645 6.645 5.826 Å, 109.75 109.75 24.23°
Element x y z (fractional)
Li 0.154 0.154 0.290
Li 0.846 0.846 0.710
V 0.155 0.155 0.805
V 0.500 0.500 0.500
V 0.845 0.845 0.195
O 0.003 0.003 0.739
O 0.321 0.321 0.941
O 0.335 0.335 0.421
O 0.665 0.665 0.579
O 0.679 0.679 0.059
O 0.997 0.997 0.261

Results
size of the total moment = 0.74 μB per cell
volume = 9.01 Å³ per atom
offset from the most stable computed form = 0.55 eV/f.u.
formation energy from raw total energies = -2502 meV/atom

[2]
This record from the Alexandria database describes a crystal of Li2Cu3F11 relaxed with PBEsol. The functional is meta-GGA SCAN.

Cell: 5.942 7.171 8.996 Å, 90.00 98.07 90.00°
Element x y z (fractional)
Li 0.160 0.250 0.214
Li 0.161 0.750 0.267
Li 0.839 0.250 0.733
Li 0.840 0.750 0.786
Cu 0.324 0.003 0.867
Cu 0.324 0.497 0.867
Cu 0.500 0.000 0.500
Cu 0.500 0.500 0.500
Cu 0.676 0.503 0.133
Cu 0.676 0.997 0.133
F 0.022 0.061 0.837
F 0.022 0.439 0.837
F 0.217 0.750 0.889
F 0.246 0.056 0.374
F 0.246 0.444 0.374
F 0.327 0.538 0.660
F 0.327 0.962 0.660
F 0.361 0.060 0.082
F 0.361 0.440 0.082
F 0.430 0.250 0.837
F 0.434 0.750 0.439
F 0.566 0.250 0.561
F 0.570 0.750 0.163
F 0.639 0.560 0.918
F 0.639 0.940 0.918
F 0.673 0.038 0.340
F 0.673 0.462 0.340
F 0.754 0.556 0.626
F 0.754 0.944 0.626
F 0.783 0.250 0.111
F 0.978 0.561 0.163
F 0.978 0.939 0.163

Results
size of the total moment = 4.00 μB per cell
volume = 11.86 Å³ per atom
formation energy from raw total energies = -1963 meV/atom

[3]
This record from the Alexandria database describes a crystal of BaZnP2 relaxed with PBEsol. The functional is meta-GGA SCAN.

Cell: 5.150 5.150 5.150 Å, 128.82 104.32 97.23°
Element x y z (fractional)
Ba 0.000 0.000 0.000
Zn 0.500 0.500 0.000
P 0.338 0.838 0.500
P 0.662 0.162 0.500

Results
size of the total moment = 0.00 μB per cell
volume = 23.93 Å³ per atom
energy relative to the elements = -43.8 kJ per mole of atoms

[4]
This record from the Alexandria database describes a crystal of LaSiAs3 relaxed with PBEsol. The functional is meta-GGA SCAN.

Cell: 5.863 26.259 5.918 Å, 90.00 90.00 90.00°
Element x y z (fractional)
La 0.002 0.090 0.001
La 0.002 0.410 0.501
La 0.498 0.590 0.001
La 0.498 0.910 0.501
La 0.502 0.090 0.499
La 0.502 0.410 0.999
La 0.998 0.590 0.499
La 0.998 0.910 0.999
Si 0.101 0.706 0.091
Si 0.101 0.794 0.591
Si 0.399 0.206 0.091
Si 0.399 0.294 0.591
Si 0.601 0.706 0.409
Si 0.601 0.794 0.909
Si 0.899 0.206 0.409
Si 0.899 0.294 0.909
As 0.000 0.210 0.024
As 0.000 0.290 0.524
As 0.000 0.710 0.476
As 0.000 0.790 0.976
As 0.004 0.124 0.505
As 0.004 0.376 0.005
As 0.250 0.000 0.250
As 0.250 0.000 0.750
As 0.250 0.500 0.250
As 0.250 0.500 0.750
As 0.496 0.624 0.505
As 0.496 0.876 0.005
As 0.500 0.210 0.476
As 0.500 0.290 0.976
As 0.500 0.710 0.024
As 0.500 0.790 0.524
As 0.504 0.124 0.995
As 0.504 0.376 0.495
As 0.750 0.000 0.250
As 0.750 0.000 0.750
As 0.750 0.500 0.250
As 0.750 0.500 0.750
As 0.996 0.624 0.995
As 0.996 0.876 0.495

Results
size of the total moment = 0.00 μB per cell
volume = 22.78 Å³ per atom
offset from the most stable computed form = 0.15 eV/f.u.
formation energy from raw total energies = -733 meV/atom

[5]
This record from the Alexandria database describes a crystal of Sr2CrCl relaxed with PBEsol. The functional is meta-GGA SCAN.

Cell: 5.633 5.633 5.633 Å, 60.00 60.00 60.00°
Element x y z (fractional)
Sr 0.250 0.250 0.250
Sr 0.750 0.750 0.750
Cr 0.000 0.000 0.000
Cl 0.500 0.500 0.500

Results
size of the total moment = 7.00 μB per cell
volume = 31.59 Å³ per atom
offset from the most stable computed form = 1.04 eV/f.u.
formation energy from raw total energies = -374 meV/atom

[6]
This record from the Alexandria database describes a crystal of SiP4Rh relaxed with PBEsol. The functional is meta-GGA SCAN.

Cell: 4.939 4.939 4.939 Å, 60.00 60.00 60.00°
Element x y z (fractional)
Si 0.000 0.000 0.000
P 0.373 0.373 0.373
P 0.373 0.373 0.880
P 0.373 0.880 0.373
P 0.880 0.373 0.373
Rh 0.750 0.750 0.750

Results
size of the total moment = 0.00 μB per cell
volume = 14.20 Å³ per atom
formation energy from raw total energies = 931 meV/atom